Entry from Alexandria via LeMat-Bulk: a geometry-optimized Al3VGa structure (GGA-PBE).

```
data_Al3VGa
_chemical_formula_sum 'Al3 V1 Ga1'
_space_group_name_H-M_alt 'P m -3 m'
_space_group_IT_number 221
_space_group_name_Hall '-P 4 2 3'
_cell_length_a 4.889
_cell_length_b 4.889
_cell_length_c 4.889
_cell_angle_alpha 90.00
_cell_angle_beta 90.00
_cell_angle_gamma 90.00
loop_
_atom_site_label
_atom_site_fract_x
_atom_site_fract_y
_atom_site_fract_z
_atom_site_occupancy
Al1 0.000 0.000 0.500 1
V1 0.000 0.000 0.000 1
Ga1 0.500 0.500 0.500 1
```

Calculated values
Formation energy from the elements, kJ/mol of formula units: 314
Energy, eV/atom: -4.025
Crystal system: cubic